P:
A relaxed NdDy2Ir crystal. Source: Alexandria, functional PBE.

Output
M_tot: 0.000 Bohr magnetons per cell

The structure in CIF format:
```
data_NdDy2Ir
_symmetry_space_group_name_H-M 'P 1'
_symmetry_Int_Tables_number 1
_cell_length_a 9.162
_cell_length_b 9.162
_cell_length_c 9.162
_cell_angle_alpha 25.29
_cell_angle_beta 25.29
_cell_angle_gamma 25.29
loop_
_symmetry_equiv_pos_as_xyz
'x,y,z'
loop_
_atom_site_label
_atom_site_fract_x
_atom_site_fract_y
_atom_site_fract_z
Nd1 0.000 0.000 0.000
Dy1 0.553 0.553 0.553
Dy2 0.775 0.775 0.775
Ir1 0.164 0.164 0.164
```



Q:
A relaxed NdDy2Ir crystal. Source: Alexandria, functional PBE.

Output
M_tot: 0.000 Bohr magnetons per cell

The structure in CIF format:
```
data_NdDy2Ir
_symmetry_space_group_name_H-M 'P 1'
_symmetry_Int_Tables_number 1
_cell_length_a 7.293
_cell_length_b 9.416
_cell_length_c 6.473
_cell_angle_alpha 90.00
_cell_angle_beta 90.00
_cell_angle_gamma 90.00
loop_
_symmetry_equiv_pos_as_xyz
'x,y,z'
loop_
_atom_site_label
_atom_site_fract_x
_atom_site_fract_y
_atom_site_fract_z
Nd1 0.034 0.250 0.134
Nd2 0.466 0.750 0.634
Nd3 0.534 0.250 0.366
Nd4 0.966 0.750 0.866
Dy1 0.175 0.065 0.670
Dy2 0.175 0.435 0.670
Dy3 0.325 0.565 0.170
Dy4 0.325 0.935 0.170
Dy5 0.675 0.065 0.830
Dy6 0.675 0.435 0.830
Dy7 0.825 0.565 0.330
Dy8 0.825 0.935 0.330
Ir1 0.118 0.750 0.435
Ir2 0.382 0.250 0.935
Ir3 0.618 0.750 0.065
Ir4 0.882 0.250 0.565
```



Of them, Q has the highest stability.